[1]
# ScOsCl4, optimized geometry, DFT PBE-GGA
# Total magnetization ... 20.00 Bohr magnetons per cell
# Uncorrected formation energy ... 0.953 eV per atom
data_ScOsCl4
_cell_length_a 8.047
_cell_length_b 8.047
_cell_length_c 8.047
_cell_angle_alpha 90.00
_cell_angle_beta 90.00
_cell_angle_gamma 90.00
_space_group_name_H-M_alt 'F -4 3 m'
_space_group_IT_number 216
_space_group_name_Hall 'F -4 2 3'
loop_
_atom_site_label
_atom_site_type_symbol
_atom_site_fract_x
_atom_site_fract_y
_atom_site_fract_z
Sc1 Sc 0.000 0.000 0.000
Os1 Os 0.250 0.250 0.250
Cl1 Cl 0.125 0.125 0.625

***

[2]
# CsPrTe3Pb, optimized geometry, DFT PBE-GGA
# Total magnetization ... 0.00 Bohr magnetons per cell
# Uncorrected formation energy ... -1.029 eV per atom
data_CsPrTe3Pb
_cell_length_a 10.629
_cell_length_b 4.617
_cell_length_c 11.292
_cell_angle_alpha 90.00
_cell_angle_beta 105.04
_cell_angle_gamma 90.00
_space_group_name_H-M_alt 'P 1 21/m 1'
_space_group_IT_number 11
_space_group_name_Hall '-P 2yb'
loop_
_atom_site_label
_atom_site_type_symbol
_atom_site_fract_x
_atom_site_fract_y
_atom_site_fract_z
Cs1 Cs 0.190 0.250 0.223
Pr1 Pr 0.356 0.750 0.851
Te1 Te 0.135 0.250 0.835
Te2 Te 0.311 0.750 0.555
Te3 Te 0.437 0.750 0.142
Pb1 Pb 0.125 0.250 0.568

***

[3]
# VFe3Pt6, optimized geometry, DFT PBE-GGA
# Total magnetization ... 18.20 Bohr magnetons per cell
# DFT formation energy ... -0.317 eV per atom
data_VFe3Pt6
_cell_length_a 4.721
_cell_length_b 7.243
_cell_length_c 9.497
_cell_angle_alpha 109.39
_cell_angle_beta 99.28
_cell_angle_gamma 102.21
_space_group_name_H-M_alt 'P -1'
_space_group_IT_number 2
_space_group_name_Hall '-P 1'
loop_
_atom_site_label
_atom_site_type_symbol
_atom_site_fract_x
_atom_site_fract_y
_atom_site_fract_z
V1 V 0.236 0.342 0.395
Fe1 Fe 0.249 0.151 0.602
Fe2 Fe 0.250 0.551 0.201
Fe3 Fe 0.251 0.747 0.999
Pt1 Pt 0.244 0.357 0.902
Pt2 Pt 0.248 0.160 0.103
Pt3 Pt 0.249 0.949 0.305
Pt4 Pt 0.252 0.949 0.798
Pt5 Pt 0.258 0.541 0.694
Pt6 Pt 0.260 0.740 0.494

***

[4]
# NbHg3Pd12, optimized geometry, DFT PBE-GGA
# Total magnetization ... 0.00 Bohr magnetons per cell
# DFT formation energy ... -0.213 eV per atom
data_NbHg3Pd12
_cell_length_a 4.013
_cell_length_b 4.013
_cell_length_c 16.333
_cell_angle_alpha 90.00
_cell_angle_beta 90.00
_cell_angle_gamma 90.00
_space_group_name_H-M_alt 'P 4/m m m'
_space_group_IT_number 123
_space_group_name_Hall '-P 4 2'
loop_
_atom_site_label
_atom_site_type_symbol
_atom_site_fract_x
_atom_site_fract_y
_atom_site_fract_z
Nb1 Nb 0.000 0.000 0.000
Hg1 Hg 0.000 0.000 0.248
Hg2 Hg 0.000 0.000 0.500
Pd1 Pd 0.000 0.500 0.116
Pd2 Pd 0.000 0.500 0.374
Pd3 Pd 0.500 0.500 0.000
Pd4 Pd 0.500 0.500 0.244
Pd5 Pd 0.500 0.500 0.500